Here is crystalline NbCuHg2 at its relaxed geometry from OQMD. Energies are from PBE-GGA.

a = 4.6920 Å, b = 4.6920 Å, c = 4.6920 Å
α = 60.00°, β = 60.00°, γ = 60.00°
Last column: nearest neighbours and their distance in Å.
Fractional coordinates of all 4 atoms:
Cu (0.7500, 0.7500, 0.7500)  4 Hg 2.87, 4 Nb 2.87
Nb (0.5000, 0.5000, 0.5000)  4 Cu 2.87, 4 Hg 2.87
Hg (0.0000, 0.0000, 0.0000)  4 Cu 2.87, 4 Hg 2.87
Hg (0.2500, 0.2500, 0.2500)  4 Hg 2.87, 4 Nb 2.87

For the energy relative to the elements, the calculation gives 0.49 eV/atom. As for the symmetry: F-43m (216). The volume is 73.04 Å³/cell.